# GGA-PBE Ba2TbNdSe4, optimized geometry
data_Ba2TbNdSe4
_symmetry_space_group_name_H-M 'P 1 2/m 1'
_symmetry_Int_Tables_number 10
_cell_length_a 7.530
_cell_length_b 4.354
_cell_length_c 7.827
_cell_angle_alpha 90.00
_cell_angle_beta 108.76
_cell_angle_gamma 90.00
loop_
_symmetry_equiv_pos_as_xyz
'x,y,z'
'-x,-y,-z'
'-x,y,-z'
'x,-y,z'
loop_
_atom_site_label
_atom_site_type_symbol
_atom_site_fract_x
_atom_site_fract_y
_atom_site_fract_z
_atom_site_occupancy
Ba1 Ba 0.000 0.000 0.000 1
Ba2 Ba 0.500 0.500 0.000 1
Tb1 Tb 0.000 0.500 0.500 1
Nd1 Nd 0.500 0.000 0.500 1
Se1 Se 0.233 0.000 0.716 1
Se2 Se 0.254 0.500 0.281 1
# Total magnetic moment: 0.00 μB per cell
# ΔE_f (raw): -1898.9 meV/atom
# Final energy: -5.30 eV per atom
# Fermi-level density of states: 0.48 states/eV per atom
# Crystal system: monoclinic

=====

# GGA-PBE Nd12Si5H3, optimized geometry
data_Nd12Si5H3
_symmetry_space_group_name_H-M 'I a -3 d'
_symmetry_Int_Tables_number 230
_symmetry_space_group_name_Hall '-I 4bd 2c 3'
_cell_length_a 16.940
_cell_length_b 16.940
_cell_length_c 16.940
_cell_angle_alpha 90.00
_cell_angle_beta 90.00
_cell_angle_gamma 90.00
loop_
_atom_site_label
_atom_site_type_symbol
_atom_site_fract_x
_atom_site_fract_y
_atom_site_fract_z
_atom_site_occupancy
Nd1 Nd 0.026 0.081 0.644 1
Si1 Si 0.000 0.000 0.000 1
Si2 Si 0.000 0.250 0.375 1
H1 H 0.000 0.250 0.125 1
# Total magnetic moment: 32.36 μB per cell
# Final energy: -4.54 eV per atom
# Fermi-level density of states: 1.03 states/eV per atom
# Crystal system: cubic

=====

# GGA-PBE InNi2Os, optimized geometry
data_InNi2Os
_symmetry_space_group_name_H-M 'P 1 m 1'
_symmetry_Int_Tables_number 6
_cell_length_a 2.716
_cell_length_b 4.155
_cell_length_c 5.148
_cell_angle_alpha 90.00
_cell_angle_beta 105.17
_cell_angle_gamma 90.00
loop_
_symmetry_equiv_pos_as_xyz
'x,y,z'
'x,-y,z'
loop_
_atom_site_label
_atom_site_type_symbol
_atom_site_fract_x
_atom_site_fract_y
_atom_site_fract_z
_atom_site_occupancy
In1 In 0.000 0.000 0.000 1
Ni1 Ni 0.605 0.500 0.211 1
Ni2 Ni 0.740 0.000 0.484 1
Os1 Os 0.325 0.500 0.654 1
# Total magnetic moment: 0.00 μB per cell
# Final energy: -6.17 eV per atom
# Energy of formation: 0.212 eV per atom
# Fermi-level density of states: 1.24 states/eV per atom
# Crystal system: monoclinic

=====

# GGA-PBE VFeAsPt2, optimized geometry
data_VFeAsPt2
_symmetry_space_group_name_H-M 'P 4/m m m'
_symmetry_Int_Tables_number 123
_symmetry_space_group_name_Hall '-P 4 2'
_cell_length_a 4.638
_cell_length_b 4.638
_cell_length_c 4.249
_cell_angle_alpha 90.00
_cell_angle_beta 90.00
_cell_angle_gamma 90.00
loop_
_atom_site_label
_atom_site_type_symbol
_atom_site_fract_x
_atom_site_fract_y
_atom_site_fract_z
_atom_site_occupancy
V1 V 0.000 0.000 0.000 1
Fe1 Fe 0.500 0.500 0.000 1
As1 As 0.500 0.500 0.500 1
Pt1 Pt 0.000 0.500 0.500 1
# Total magnetic moment: 0.28 μB per cell
# Final energy: -5.97 eV per atom
# Energy above the lowest structure with this stoichiometry: 0.75 eV per formula unit
# Energy of formation: 0.894 eV per atom
# Fermi-level density of states: 2.18 states/eV per atom
# Crystal system: tetragonal

=====

# GGA-PBE Ce5Si5Ni2, optimized geometry
data_Ce5Si5Ni2
_symmetry_space_group_name_H-M 'C 1 2/m 1'
_symmetry_Int_Tables_number 12
_cell_length_a 14.477
_cell_length_b 4.064
_cell_length_c 10.477
_cell_angle_alpha 90.00
_cell_angle_beta 126.33
_cell_angle_gamma 90.00
loop_
_symmetry_equiv_pos_as_xyz
'x,y,z'
'-x,-y,-z'
'-x,y,-z'
'x,-y,z'
'x+1/2,y+1/2,z'
'-x+1/2,-y+1/2,-z'
'-x+1/2,y+1/2,-z'
'x+1/2,-y+1/2,z'
loop_
_atom_site_label
_atom_site_type_symbol
_atom_site_fract_x
_atom_site_fract_y
_atom_site_fract_z
_atom_site_occupancy
Ce1 Ce 0.000 0.000 0.000 1
Ce2 Ce 0.126 0.500 0.798 1
Ce3 Ce 0.196 0.500 0.600 1
Si1 Si 0.000 0.000 0.500 1
Si2 Si 0.069 0.000 0.333 1
Si3 Si 0.191 0.500 0.128 1
Ni1 Ni 0.107 0.500 0.265 1
# Total magnetic moment: 1.82 μB per cell
# ΔE_f (raw): -678.2 meV/atom
# Final energy: -6.37 eV per atom
# Fermi-level density of states: 1.20 states/eV per atom
# Crystal system: monoclinic

=====

# GGA-PBE Al3Sn, optimized geometry
data_Al3Sn
_symmetry_space_group_name_H-M 'I 4/m m m'
_symmetry_Int_Tables_number 139
_symmetry_space_group_name_Hall '-I 4 2'
_cell_length_a 4.168
_cell_length_b 4.168
_cell_length_c 9.014
_cell_angle_alpha 90.00
_cell_angle_beta 90.00
_cell_angle_gamma 90.00
loop_
_atom_site_label
_atom_site_type_symbol
_atom_site_fract_x
_atom_site_fract_y
_atom_site_fract_z
_atom_site_occupancy
Al1 Al 0.000 0.000 0.000 1
Al2 Al 0.000 0.500 0.250 1
Sn1 Sn 0.000 0.000 0.500 1
# Total magnetic moment: 0.00 μB per cell
# Final energy: -3.65 eV per atom
# Energy of formation: 0.159 eV per atom
# Fermi-level density of states: 0.48 states/eV per atom
# Crystal system: tetragonal

=====

# GGA-PBE TlZnRu2, optimized geometry
data_TlZnRu2
_symmetry_space_group_name_H-M 'P m m m'
_symmetry_Int_Tables_number 47
_cell_length_a 3.041
_cell_length_b 4.480
_cell_length_c 4.814
_cell_angle_alpha 90.00
_cell_angle_beta 90.00
_cell_angle_gamma 90.00
loop_
_symmetry_equiv_pos_as_xyz
'x,y,z'
'-x,-y,-z'
'-x,-y,z'
'x,y,-z'
'x,-y,-z'
'-x,y,z'
'-x,y,-z'
'x,-y,z'
loop_
_atom_site_label
_atom_site_type_symbol
_atom_site_fract_x
_atom_site_fract_y
_atom_site_fract_z
_atom_site_occupancy
Tl1 Tl 0.000 0.000 0.000 1
Zn1 Zn 0.500 0.000 0.500 1
Ru1 Ru 0.000 0.500 0.500 1
Ru2 Ru 0.500 0.500 0.000 1
# Total magnetic moment: 0.85 μB per cell
# Final energy: -5.03 eV per atom
# Energy above the lowest structure with this stoichiometry: 1.06 eV per formula unit
# Energy of formation: 0.516 eV per atom
# Fermi-level density of states: 1.05 states/eV per atom
# Crystal system: orthorhombic

=====

# GGA-PBE MgTeS2Cl, optimized geometry
data_MgTeS2Cl
_symmetry_space_group_name_H-M 'P 4/m m m'
_symmetry_Int_Tables_number 123
_symmetry_space_group_name_Hall '-P 4 2'
_cell_length_a 5.169
_cell_length_b 5.169
_cell_length_c 5.105
_cell_angle_alpha 90.00
_cell_angle_beta 90.00
_cell_angle_gamma 90.00
loop_
_atom_site_label
_atom_site_type_symbol
_atom_site_fract_x
_atom_site_fract_y
_atom_site_fract_z
_atom_site_occupancy
Mg1 Mg 0.000 0.000 0.000 1
Te1 Te 0.500 0.500 0.500 1
S1 S 0.000 0.500 0.500 1
Cl1 Cl 0.500 0.500 0.000 1
# Total magnetic moment: 0.00 μB per cell
# ΔE_f (raw): 66.1 meV/atom
# Final energy: -2.90 eV per atom
# Energy above the lowest structure with this stoichiometry: 1.11 eV per formula unit
# Fermi-level density of states: 0.46 states/eV per atom
# Crystal system: tetragonal